Density functional theory data (meta-GGA SCAN) for a crystal of HfGaAs2 relaxed with PBEsol.

**Density**: 6.56 Mg/m³
**Calculated volume**: 201.4 Å³/cell
**Spin magnetization**: 0.000 μB per atom
**Uncorrected energy**: -30.121 eV per atom
**Crystal system**: tetragonal
**ΔE_f**: -0.271 eV/atom

a = 5.9723 Å, b = 5.9723 Å, c = 7.0521 Å
α = 115.05°, β = 115.05°, γ = 90.00°
Closest atoms and distances in Å follow each position.
Fractional coordinates of all 8 atoms:
As (0.8632, 0.3750, 0.2500)  2 Ga 2.50, 2 Hf 2.58
As (0.3868, 0.8750, 0.2500)  2 Ga 2.50, 2 Hf 2.58
As (0.6250, 0.6132, 0.7500)  2 Ga 2.50, 2 Hf 2.58
As (0.1250, 0.1368, 0.7500)  2 Ga 2.50, 2 Hf 2.58
Hf (0.2500, 0.7500, 0.5000)  4 As 2.58
Hf (0.0000, 0.0000, 0.0000)  4 As 2.58
Ga (0.7500, 0.2500, 0.5000)  4 As 2.50
Ga (0.5000, 0.5000, 0.0000)  4 As 2.50